1.
First-principles (GGA-PBE) data for a geometry-optimized NbReC structure, as listed in Alexandria via LeMat-Bulk.

For the calculated total energy, the calculation gives -10.71 eV per atom. For the formation energy, the calculation gives -0.131 eV per atom. The crystal system is triclinic. Its spin magnetization is 0.00 μB/cell. Its space group is P-1 (2). For the volume, the calculation gives 77.53 Å³/cell.

Unit cell a=3.0297 b=5.2089 c=5.2158 alpha=80.27 beta=89.97 gamma=73.12
Atoms (fractional coordinates):
Nb1 0.1215 0.2585 0.3618
Nb2 0.8785 0.7415 0.6382
Re1 0.3779 0.7422 0.1289
Re2 0.6221 0.2578 0.8711
C1 0.2448 0.0105 0.7589
C2 0.7552 0.9895 0.2411



2.
First-principles (GGA-PBE) data for a geometry-optimized AlNi4Pt structure, as listed in Alexandria via LeMat-Bulk.

The value obtained for the offset from the most stable computed form is 0.1215 eV/atom. For the calculated total energy, the calculation gives -5.70 eV per atom. For the formation energy, the calculation gives -0.214 eV per atom. The crystal system is cubic. Its spin magnetization is 0.38 μB/cell. Its space group is F-43m (216). For the volume, the calculation gives 73.28 Å³/cell.

Unit cell a=4.6970 b=4.6970 c=4.6970 alpha=60.00 beta=60.00 gamma=60.00
Atoms (fractional coordinates):
Al1 0.0000 0.0000 0.0000
Ni1 0.3751 0.3751 0.3751
Ni2 0.3751 0.3751 0.8748
Ni3 0.3751 0.8748 0.3751
Ni4 0.8748 0.3751 0.3751
Pt1 0.7500 0.7500 0.7500



3.
First-principles (GGA-PBE) data for a geometry-optimized Cd2HPbAu structure, as listed in Alexandria via LeMat-Bulk.

For the calculated total energy, the calculation gives -2.33 eV per atom. The crystal system is tetragonal. Its spin magnetization is 0.00 μB/cell. Its space group is P4/mmm (123). For the volume, the calculation gives 110.89 Å³/cell.

Unit cell a=5.5668 b=5.5668 c=3.5784 alpha=90.00 beta=90.00 gamma=90.00
Atoms (fractional coordinates):
Cd1 0.0000 0.5000 0.0000
Cd2 0.5000 0.0000 0.0000
H1 0.0000 0.0000 0.5000
Pb1 0.5000 0.5000 0.5000
Au1 0.0000 0.0000 0.0000



4.
First-principles (GGA-PBE) data for a geometry-optimized PrAgS2O8 structure, as listed in Alexandria via LeMat-Bulk.

For the calculated total energy, the calculation gives -6.34 eV per atom. The crystal system is trigonal. Its spin magnetization is 0.00 μB/cell. Its space group is P-3m1 (164). For the volume, the calculation gives 183.83 Å³/cell. For the formation energy from raw total energies, the calculation gives -39.52 kcal/mol of atoms.

Unit cell a=5.2366 b=5.2366 c=7.7409 alpha=90.00 beta=90.00 gamma=120.00
Atoms (fractional coordinates):
Pr1 0.0000 0.0000 0.0000
Ag1 0.0000 0.0000 0.5000
S1 0.3333 0.6667 0.1900
S2 0.6667 0.3333 0.8100
O1 0.1775 0.3550 0.2499
O2 0.1775 0.8225 0.2499
O3 0.3333 0.6667 0.9956
O4 0.3550 0.1775 0.7501
O5 0.6450 0.8225 0.2499
O6 0.6667 0.3333 0.0044
O7 0.8225 0.1775 0.7501
O8 0.8225 0.6450 0.7501



5.
First-principles (GGA-PBE) data for a geometry-optimized K7Rb2Ag structure, as listed in Alexandria via LeMat-Bulk.

For the calculated total energy, the calculation gives -1.22 eV per atom. For the formation energy, the calculation gives 0.031 eV per atom. The crystal system is monoclinic. Its spin magnetization is 0.00 μB/cell. Its space group is C2/c (15). For the volume, the calculation gives 1346.77 Å³/cell.

Unit cell a=11.8364 b=11.8364 c=13.8994 alpha=121.25 beta=121.25 gamma=59.64
Atoms (fractional coordinates):
K1 0.1446 0.8554 0.7500
K2 0.1547 0.5956 0.1932
K3 0.2019 0.4251 0.4909
K4 0.2871 0.5557 0.9033
K5 0.4044 0.8453 0.3068
K6 0.4251 0.2019 0.9909
K7 0.4443 0.7129 0.5967
K8 0.5557 0.2871 0.4033
K9 0.5749 0.7981 0.0091
K10 0.5956 0.1547 0.6932
K11 0.7129 0.4443 0.0967
K12 0.7981 0.5749 0.5091
K13 0.8453 0.4044 0.8068
K14 0.8554 0.1446 0.2500
Rb1 0.1488 0.1508 0.1057
Rb2 0.1508 0.1488 0.6057
Rb3 0.8492 0.8512 0.3943
Rb4 0.8512 0.8492 0.8943
Ag1 0.4770 0.5230 0.7500
Ag2 0.5230 0.4770 0.2500



6.
First-principles (GGA-PBE) data for a geometry-optimized ZnIrI3 structure, as listed in Alexandria via LeMat-Bulk.

The value obtained for the offset from the most stable computed form is 0.6683 eV/atom. For the calculated total energy, the calculation gives -1.86 eV per atom. The crystal system is cubic. Its spin magnetization is 3.00 μB/cell. Its space group is Pm-3m (221). For the volume, the calculation gives 166.75 Å³/cell. For the formation energy from raw total energies, the calculation gives 25.24 kcal/mol of atoms.

Unit cell a=5.5042 b=5.5042 c=5.5042 alpha=90.00 beta=90.00 gamma=90.00
Atoms (fractional coordinates):
Zn1 0.0000 0.0000 0.0000
Ir1 0.5000 0.5000 0.5000
I1 0.0000 0.0000 0.5000
I2 0.0000 0.5000 0.0000
I3 0.5000 0.0000 0.0000